# 1
## Ac2Pa2S7 (PBE)

Data for an optimized crystal structure of Ac2Pa2S7.

a = 9.568 Å, b = 9.568 Å, c = 9.568 Å
α = 60.00°, β = 60.00°, γ = 60.00°
Each line ends with the local moment (μB).
Fractional positions:
1 Ac 0.625 0.625 0.625  0.01
2 Ac 0.625 0.625 0.125  0.01
3 Ac 0.625 0.125 0.625  0.01
4 Ac 0.125 0.625 0.625  0.01
5 S 0.220 0.780 0.780  -0.02
6 S 0.780 0.780 0.220  -0.02
7 S 0.030 0.030 0.470  -0.02
8 S 0.470 0.470 0.030  -0.02
9 S 0.780 0.220 0.780  -0.02
10 S 0.500 0.500 0.500  0.00
11 S 0.750 0.750 0.750  0.00
12 S 0.220 0.220 0.780  -0.02
13 S 0.470 0.030 0.470  -0.02
14 S 0.220 0.780 0.220  -0.02
15 S 0.030 0.470 0.470  -0.02
16 S 0.470 0.030 0.030  -0.02
17 S 0.780 0.220 0.220  -0.02
18 S 0.030 0.470 0.030  -0.02
19 Pa 0.125 0.625 0.125  0.92
20 Pa 0.125 0.125 0.625  0.92
21 Pa 0.625 0.125 0.125  0.92
22 Pa 0.125 0.125 0.125  0.92

## Properties
Formation energy from raw total energies = -1.8425 eV per atom

---

# 2
## AcPaS2 (PBE)

Data for an optimized crystal structure of AcPaS2.

a = 3.548 Å, b = 3.548 Å, c = 7.167 Å
α = 90.00°, β = 90.00°, γ = 90.00°
Each line ends with the local moment (μB).
Fractional positions:
1 S 0.000 0.000 0.224  -0.02
2 S 0.000 0.000 0.776  -0.02
3 Ac 0.500 0.500 0.500  0.04
4 Pa 0.500 0.500 0.000  0.99

## Properties
Formation energy from raw total energies = -1.3391 eV per atom

---

# 3
## AcPa2S6 (PBE)

Data for an optimized crystal structure of AcPa2S6.

a = 5.218 Å, b = 7.288 Å, c = 8.216 Å
α = 73.10°, β = 71.49°, γ = 69.02°
Each line ends with the local moment (μB).
Fractional positions:
1 S 0.643 0.293 0.422  -0.02
2 S 0.357 0.707 0.578  -0.02
3 S 0.968 0.860 0.203  -0.02
4 S 0.734 0.642 0.889  -0.02
5 S 0.032 0.140 0.797  -0.02
6 S 0.266 0.358 0.111  -0.02
7 Pa 0.181 0.740 0.898  0.55
8 Pa 0.819 0.260 0.102  0.55
9 Ac 0.000 0.500 0.500  0.00

## Properties
Formation energy from raw total energies = -1.7123 eV per atom

---

# 4
## AcPa2S5 (PBE)

Data for an optimized crystal structure of AcPa2S5.

a = 7.453 Å, b = 7.453 Å, c = 8.463 Å
α = 116.13°, β = 116.13°, γ = 90.00°
Each line ends with the local moment (μB).
Fractional positions:
1 S 0.792 0.985 0.277  -0.03
2 S 0.515 0.708 0.723  -0.03
3 S 0.485 0.292 0.277  -0.03
4 S 0.292 0.792 0.277  -0.03
5 S 0.500 0.500 0.000  -0.03
6 S 0.000 0.000 0.000  -0.03
7 S 0.985 0.485 0.277  -0.03
8 S 0.208 0.015 0.723  -0.03
9 S 0.708 0.208 0.723  -0.03
10 S 0.015 0.515 0.723  -0.03
11 Pa 0.154 0.346 0.000  1.24
12 Pa 0.654 0.154 0.000  1.24
13 Pa 0.846 0.654 0.000  1.24
14 Pa 0.346 0.846 0.000  1.24
15 Ac 0.250 0.250 0.500  0.03
16 Ac 0.750 0.750 0.500  0.03

## Properties
Formation energy from raw total energies = -1.8028 eV per atom

---

# 5
## Ac3PaS7 (PBE)

Data for an optimized crystal structure of Ac3PaS7.

a = 8.372 Å, b = 8.372 Å, c = 9.877 Å
α = 90.00°, β = 90.00°, γ = 110.45°
Fractional positions:
1 S 0.669 0.918 0.528
2 S 0.918 0.669 0.028
3 S 0.927 0.073 0.250
4 S 0.331 0.082 0.028
5 S 0.628 0.372 0.750
6 S 0.918 0.669 0.472
7 S 0.633 0.367 0.250
8 S 0.082 0.331 0.528
9 S 0.073 0.927 0.750
10 S 0.082 0.331 0.972
11 S 0.669 0.918 0.972
12 S 0.367 0.633 0.750
13 S 0.372 0.628 0.250
14 S 0.331 0.082 0.472
15 Ac 0.500 0.500 0.000
16 Ac 0.999 0.543 0.750
17 Ac 0.457 0.001 0.750
18 Ac 0.543 0.999 0.250
19 Ac 0.001 0.457 0.250
20 Ac 0.500 0.500 0.500
21 Pa 0.000 0.000 0.000
22 Pa 0.000 0.000 0.500

## Properties
Formation energy from raw total energies = -2.0116 eV per atom

---

# 6
## AcPaS4 (PBE)

Data for an optimized crystal structure of AcPaS4.

a = 4.307 Å, b = 6.541 Å, c = 6.541 Å
α = 91.08°, β = 90.00°, γ = 90.00°
Fractional positions:
1 S 0.000 0.784 0.784
2 S 0.500 0.675 0.325
3 S 0.500 0.325 0.675
4 S 0.000 0.216 0.216
5 Ac 0.500 0.000 0.000
6 Pa 0.000 0.500 0.500

## Properties
Formation energy from raw total energies = -1.7332 eV per atom

---

# 7
## Ac6PaS12 (PBE)

Data for an optimized crystal structure of Ac6PaS12.

a = 8.431 Å, b = 8.431 Å, c = 8.431 Å
α = 98.72°, β = 98.72°, γ = 98.72°
Each line ends with the local moment (μB).
Fractional positions:
1 Ac 0.621 0.300 0.138  0.01
2 Ac 0.862 0.379 0.700  0.01
3 Ac 0.138 0.621 0.300  0.01
4 Ac 0.700 0.862 0.379  0.01
5 Ac 0.300 0.138 0.621  0.01
6 Ac 0.379 0.700 0.862  0.01
7 S 0.415 0.822 0.558  0.07
8 S 0.061 0.962 0.310  0.00
9 S 0.690 0.939 0.038  0.00
10 S 0.310 0.061 0.962  0.00
11 S 0.442 0.585 0.178  0.07
12 S 0.178 0.442 0.585  0.07
13 S 0.038 0.690 0.939  0.00
14 S 0.558 0.415 0.822  0.07
15 S 0.585 0.178 0.442  0.07
16 S 0.822 0.558 0.415  0.07
17 S 0.939 0.038 0.690  0.00
18 S 0.962 0.310 0.061  0.00
19 Pa 0.000 0.000 0.000  0.00

## Properties
Formation energy from raw total energies = -2.0002 eV per atom

---

# 8
## Ac4PaS10 (PBE)

Data for an optimized crystal structure of Ac4PaS10.

a = 6.277 Å, b = 8.667 Å, c = 8.667 Å
α = 82.46°, β = 68.77°, γ = 68.77°
Each line ends with the local moment (μB).
Fractional positions:
1 Ac 0.399 0.803 0.399  0.00
2 Ac 0.202 0.399 0.197  0.00
3 Ac 0.798 0.601 0.803  0.00
4 Ac 0.601 0.197 0.601  0.00
5 S 0.330 0.721 0.093  0.00
6 S 0.949 0.907 0.721  0.00
7 S 0.750 0.500 0.500  0.10
8 S 0.144 0.279 0.907  0.00
9 S 0.250 0.500 0.500  0.10
10 S 0.051 0.093 0.279  0.00
11 S 0.423 0.907 0.721  0.00
12 S 0.670 0.279 0.907  0.00
13 S 0.577 0.093 0.279  0.00
14 S 0.856 0.721 0.093  0.00
15 Pa 0.000 0.000 0.000  0.00

## Properties
Formation energy from raw total energies = -1.7002 eV per atom